LiGaFeH2 | the Alexandria database | GGA-PBE | relaxed; spin magnetization = 0.81 μB per formula unit; VASP energy = -3.73 eV per atom; crystal system = tetragonal; space group = P4/mmm (123)
1.0
3.421 0.000 0.000
0.000 3.421 0.000
0.000 0.000 4.488
Li Ga Fe H
1 1 1 2
Direct
0.000 0.000 0.000
0.500 0.500 0.000
0.500 0.500 0.500
0.000 0.500 0.500
0.500 0.000 0.500



NiOsBr | the Alexandria database | GGA-PBE | relaxed; spin magnetization = 0.34 μB per formula unit; energy relative to the lowest polymorph listed for this composition = 337 meV per atom; E_form (uncorrected) = 1.19 eV per atom; VASP energy = -5.04 eV per atom; crystal system = cubic; space group = F-43m (216)
1.0
0.000 2.961 2.961
2.961 0.000 2.961
2.961 2.961 0.000
Ni Os Br
1 1 1
Direct
0.000 0.000 0.000
0.750 0.750 0.750
0.500 0.500 0.500